Material: B2PdRh
Method: DFT, GGA-PBE
State: optimized geometry

* magnetization: 0.00 μB per formula unit
* energy relative to the lowest polymorph listed for this composition: 0.000 eV/f.u.
* energy of formation from the pure elements: 208 meV per atom

a b c (Å): 5.806 5.806 5.806
angles (deg): 131.82 131.82 70.52
Atoms (fractional coordinates):
B 0.111 0.625 0.986
B 0.375 0.361 0.486
B 0.639 0.125 0.014
B 0.875 0.889 0.514
Pd 0.250 0.750 0.500
Pd 0.500 0.500 0.000
Rh 0.000 0.000 0.000
Rh 0.750 0.250 0.500

***

Material: LaZn2PdF
Method: DFT, GGA-PBE
State: optimized geometry

* magnetization: 0.00 μB per formula unit
* raw formation energy: 1.86 eV per formula unit

a b c (Å): 6.280 6.280 5.166
angles (deg): 90.00 90.00 90.00
Atoms (fractional coordinates):
La 0.000 0.000 0.000
Zn 0.000 0.500 0.000
Zn 0.500 0.000 0.000
Pd 0.000 0.000 0.500
F 0.500 0.500 0.500

***

Material: Na2AgCl
Method: DFT, GGA-PBE
State: optimized geometry

* magnetization: 0.00 μB per formula unit
* energy relative to the lowest polymorph listed for this composition: 0.311 eV/f.u.
* raw formation energy: -2.73 eV per formula unit

a b c (Å): 6.828 6.828 6.828
angles (deg): 113.70 113.70 101.31
Atoms (fractional coordinates):
Na 0.086 0.625 0.961
Na 0.375 0.336 0.461
Na 0.664 0.125 0.039
Na 0.875 0.914 0.539
Ag 0.250 0.750 0.500
Ag 0.500 0.500 0.000
Cl 0.000 0.000 0.000
Cl 0.750 0.250 0.500